Density functional theory data (PBE) for Mn9V4Ga11 after structural relaxation.

Cell and atoms, written as POSCAR:
```
Mn9V4Ga11
1.0
-0.5148 -0.6318 -2.5343
7.3616 -8.2617 0.5642
-8.2538 -6.6030 3.3228
Ga Mn V
11 9 4
direct
0.0000 0.0720 0.4085
0.0000 0.6473 0.3527
0.0000 0.2339 0.2339
0.0000 0.0000 0.0000
0.0000 0.9280 0.5915
0.0000 0.8230 0.1770
0.0000 0.1770 0.8230
0.0000 0.4085 0.0720
0.0000 0.5915 0.9280
0.0000 0.7661 0.7661
0.0000 0.3527 0.6473
0.5000 0.5000 0.5000
0.5000 0.7975 0.9709
0.5000 0.2025 0.0291
0.5000 0.9709 0.7975
0.5000 0.3821 0.8647
0.5000 0.0291 0.2025
0.5000 0.8647 0.3821
0.5000 0.6179 0.1353
0.5000 0.1353 0.6179
0.5000 0.7170 0.5563
0.5000 0.5563 0.7170
0.5000 0.2830 0.4437
0.5000 0.4437 0.2830
```

Formation energy from the elements in kJ per mole of atoms: -8
Calculated total energy in eV per atom: -6.428
DOS(E_F) in states/eV per cell: 15.3
Space-group type: Cmmm, No. 65
M_tot in μB/atom: 0.92